Record 1
Material: GeTe3I
Method: DFT, GGA-PBE
State: relaxed

Calculated values
Uncorrected energy = -3.10 eV/atom
Excess energy over the best structure of this formula in the dataset = 0.0 kJ/mol of formula units
Symmetry = P1, No. 1
Total magnetization = 0.00 μB per atom
E_form (uncorrected) = 0.020 eV per atom

Cell: 6.374 7.799 7.811 Å, 99.91 92.79 104.77°
Atoms (fractional coordinates):
Ge 0.000 0.000 0.000
Ge 0.440 0.355 0.401
Te 0.003 0.271 0.283
Te 0.076 0.766 0.219
Te 0.178 0.052 0.517
Te 0.404 0.514 0.745
Te 0.430 0.162 0.962
Te 0.511 0.911 0.691
I 0.568 0.746 0.233
I 0.907 0.516 0.756

Record 2
Material: Ge4Te5I2
Method: DFT, GGA-PBE
State: relaxed

Calculated values
Uncorrected energy = -3.36 eV/atom
Symmetry = C2/m, No. 12
Total magnetization = 0.00 μB per atom
E_form (uncorrected) = 0.033 eV per atom

Cell: 7.928 7.928 10.454 Å, 123.20 123.20 49.91°
Atoms (fractional coordinates):
Ge 0.014 0.014 0.253
Ge 0.151 0.151 0.063
Ge 0.849 0.849 0.937
Ge 0.986 0.986 0.747
Te 0.000 0.000 0.500
Te 0.081 0.571 0.720
Te 0.429 0.919 0.280
Te 0.571 0.081 0.720
Te 0.919 0.429 0.280
I 0.359 0.359 0.124
I 0.641 0.641 0.876

Record 3
Material: GeTeI3
Method: DFT, GGA-PBE
State: relaxed

Calculated values
Uncorrected energy = -2.23 eV/atom
Excess energy over the best structure of this formula in the dataset = 0.0 kJ/mol of formula units
Symmetry = Pm-3m, No. 221
Total magnetization = 0.59 μB per atom
E_form (uncorrected) = 0.248 eV per atom

Cell: 5.844 5.844 5.844 Å, 90.00 90.00 90.00°
Atoms (fractional coordinates):
Ge 0.000 0.000 0.000
Te 0.500 0.500 0.500
I 0.000 0.000 0.500
I 0.000 0.500 0.000
I 0.500 0.000 0.000

Record 4
Material: TiGeTeI2
Method: DFT, GGA-PBE
State: relaxed

Calculated values
Uncorrected energy = -3.23 eV/atom
Excess energy over the best structure of this formula in the dataset = 191.1 kJ/mol of formula units
Symmetry = P4/mmm, No. 123
Total magnetization = 0.47 μB per atom
E_form (uncorrected) = 0.517 eV per atom

Cell: 5.611 5.611 5.556 Å, 90.00 90.00 90.00°
Atoms (fractional coordinates):
Ti 0.000 0.000 0.000
Ge 0.500 0.500 0.500
Te 0.500 0.500 0.000
I 0.000 0.500 0.500
I 0.500 0.000 0.500

Record 5
Material: TiGe2TeI
Method: DFT, GGA-PBE
State: relaxed

Calculated values
Uncorrected energy = -4.01 eV/atom
Symmetry = P4/mmm, No. 123
Total magnetization = 0.00 μB per atom
E_form (uncorrected) = 0.356 eV per atom

Cell: 5.243 5.243 5.086 Å, 90.00 90.00 90.00°
Atoms (fractional coordinates):
Ti 0.000 0.000 0.000
Ge 0.000 0.500 0.000
Ge 0.500 0.000 0.000
Te 0.500 0.500 0.500
I 0.000 0.000 0.500

Record 6
Material: TiGeTeI2
Method: DFT, GGA-PBE
State: relaxed

Calculated values
Uncorrected energy = -3.63 eV/atom
Excess energy over the best structure of this formula in the dataset = 0.0 kJ/mol of formula units
Symmetry = P4/mmm, No. 123
Total magnetization = 0.40 μB per atom
E_form (uncorrected) = 0.121 eV per atom

Cell: 5.491 5.491 5.499 Å, 90.00 90.00 90.00°
Atoms (fractional coordinates):
Ti 0.000 0.000 0.000
Ge 0.500 0.500 0.500
Te 0.000 0.000 0.500
I 0.000 0.500 0.000
I 0.500 0.000 0.000

Record 7
Material: TlGeTeI2
Method: DFT, GGA-PBE
State: relaxed

Calculated values
Uncorrected energy = -2.78 eV/atom
Excess energy over the best structure of this formula in the dataset = 0.0 kJ/mol of formula units
Symmetry = P4/mmm, No. 123
Total magnetization = 0.00 μB per atom
E_form (uncorrected) = -0.135 eV per atom

Cell: 5.887 5.887 5.560 Å, 90.00 90.00 90.00°
Atoms (fractional coordinates):
Tl 0.000 0.000 0.000
Ge 0.500 0.500 0.500
Te 0.500 0.500 0.000
I 0.000 0.500 0.500
I 0.500 0.000 0.500

Record 8
Material: TlGeTeI2
Method: DFT, GGA-PBE
State: relaxed

Calculated values
Uncorrected energy = -2.14 eV/atom
Excess energy over the best structure of this formula in the dataset = 307.9 kJ/mol of formula units
Symmetry = P4/mmm, No. 123
Total magnetization = 0.06 μB per atom
E_form (uncorrected) = 0.504 eV per atom

Cell: 5.962 5.962 5.894 Å, 90.00 90.00 90.00°
Atoms (fractional coordinates):
Tl 0.000 0.000 0.000
Ge 0.500 0.500 0.500
Te 0.000 0.000 0.500
I 0.000 0.500 0.000
I 0.500 0.000 0.000

Record 9
Material: Tl5GeTe4I2
Method: DFT, GGA-PBE
State: relaxed

Calculated values
Uncorrected energy = -2.99 eV/atom
Symmetry = Amm2, No. 38
Total magnetization = 0.00 μB per atom
E_form (uncorrected) = -0.314 eV per atom

Cell: 10.097 6.958 6.958 Å, 96.24 90.00 90.00°
Atoms (fractional coordinates):
Tl 0.000 0.000 0.000
Tl 0.265 0.324 0.696
Tl 0.265 0.696 0.324
Tl 0.735 0.324 0.696
Tl 0.735 0.696 0.324
Ge 0.500 0.912 0.912
Te 0.304 0.102 0.102
Te 0.500 0.555 0.986
Te 0.500 0.986 0.555
Te 0.696 0.102 0.102
I 0.000 0.527 0.997
I 0.000 0.997 0.527

Record 10
Material: VGeTeI2
Method: DFT, GGA-PBE
State: relaxed

Calculated values
Uncorrected energy = -3.36 eV/atom
Excess energy over the best structure of this formula in the dataset = 158.1 kJ/mol of formula units
Symmetry = P4/mmm, No. 123
Total magnetization = 0.67 μB per atom
E_form (uncorrected) = 0.633 eV per atom

Cell: 5.628 5.628 5.601 Å, 90.00 90.00 90.00°
Atoms (fractional coordinates):
V 0.000 0.000 0.000
Ge 0.500 0.500 0.500
Te 0.500 0.500 0.000
I 0.000 0.500 0.500
I 0.500 0.000 0.500

Record 11
Material: VGeTeI2
Method: DFT, GGA-PBE
State: relaxed

Calculated values
Uncorrected energy = -3.69 eV/atom
Excess energy over the best structure of this formula in the dataset = 0.0 kJ/mol of formula units
Symmetry = P4/mmm, No. 123
Total magnetization = 0.61 μB per atom
E_form (uncorrected) = 0.306 eV per atom

Cell: 5.442 5.442 5.399 Å, 90.00 90.00 90.00°
Atoms (fractional coordinates):
V 0.000 0.000 0.000
Ge 0.500 0.500 0.500
Te 0.000 0.000 0.500
I 0.000 0.500 0.000
I 0.500 0.000 0.000

Record 12
Material: YGeTe2I
Method: DFT, GGA-PBE
State: relaxed

Calculated values
Uncorrected energy = -3.90 eV/atom
Symmetry = P4/mmm, No. 123
Total magnetization = 0.00 μB per atom
E_form (uncorrected) = -0.112 eV per atom

Cell: 5.535 5.535 5.368 Å, 90.00 90.00 90.00°
Atoms (fractional coordinates):
Y 0.000 0.000 0.000
Ge 0.500 0.500 0.500
Te 0.000 0.500 0.500
Te 0.500 0.000 0.500
I 0.500 0.500 0.000

Record 13
Material: YGeTe2I
Method: DFT, GGA-PBE
State: relaxed

Calculated values
Uncorrected energy = -3.90 eV/atom
Symmetry = P4/mmm, No. 123
Total magnetization = 0.06 μB per atom
E_form (uncorrected) = -0.113 eV per atom

Cell: 5.916 5.916 5.802 Å, 90.00 90.00 90.00°
Atoms (fractional coordinates):
Y 0.000 0.000 0.000
Ge 0.500 0.500 0.500
Te 0.000 0.500 0.000
Te 0.500 0.000 0.000
I 0.000 0.000 0.500

Record 14
Material: ZnGeTeI2
Method: DFT, GGA-PBE
State: relaxed

Calculated values
Uncorrected energy = -2.14 eV/atom
Excess energy over the best structure of this formula in the dataset = 0.0 kJ/mol of formula units
Symmetry = P4/mmm, No. 123
Total magnetization = 0.00 μB per atom
E_form (uncorrected) = 0.282 eV per atom

Cell: 5.718 5.718 5.562 Å, 90.00 90.00 90.00°
Atoms (fractional coordinates):
Zn 0.000 0.000 0.000
Ge 0.500 0.500 0.500
Te 0.500 0.500 0.000
I 0.000 0.500 0.500
I 0.500 0.000 0.500

Record 15
Material: ZnGeTeI2
Method: DFT, GGA-PBE
State: relaxed

Calculated values
Uncorrected energy = -2.10 eV/atom
Excess energy over the best structure of this formula in the dataset = 21.3 kJ/mol of formula units
Symmetry = P4/mmm, No. 123
Total magnetization = 0.00 μB per atom
E_form (uncorrected) = 0.326 eV per atom

Cell: 5.428 5.428 5.563 Å, 90.00 90.00 90.00°
Atoms (fractional coordinates):
Zn 0.000 0.000 0.000
Ge 0.500 0.500 0.500
Te 0.000 0.000 0.500
I 0.000 0.500 0.000
I 0.500 0.000 0.000

Record 16
Material: ZnGeTe2I
Method: DFT, GGA-PBE
State: relaxed

Calculated values
Uncorrected energy = -2.33 eV/atom
Excess energy over the best structure of this formula in the dataset = 0.0 kJ/mol of formula units
Symmetry = P4/mmm, No. 123
Total magnetization = 0.00 μB per atom
E_form (uncorrected) = 0.416 eV per atom

Cell: 5.471 5.471 5.699 Å, 90.00 90.00 90.00°
Atoms (fractional coordinates):
Zn 0.000 0.000 0.000
Ge 0.500 0.500 0.500
Te 0.000 0.500 0.500
Te 0.500 0.000 0.500
I 0.500 0.500 0.000

Record 17
Material: ZrGeTe2I
Method: DFT, GGA-PBE
State: relaxed

Calculated values
Uncorrected energy = -3.71 eV/atom
Excess energy over the best structure of this formula in the dataset = 194.3 kJ/mol of formula units
Symmetry = P4/mmm, No. 123
Total magnetization = 0.32 μB per atom
E_form (uncorrected) = 0.487 eV per atom

Cell: 5.412 5.412 5.401 Å, 90.00 90.00 90.00°
Atoms (fractional coordinates):
Zr 0.000 0.000 0.000
Ge 0.500 0.500 0.500
Te 0.000 0.500 0.500
Te 0.500 0.000 0.500
I 0.500 0.500 0.000

Record 18
Material: ZrGeTe2I
Method: DFT, GGA-PBE
State: relaxed

Calculated values
Uncorrected energy = -4.12 eV/atom
Excess energy over the best structure of this formula in the dataset = 0.0 kJ/mol of formula units
Symmetry = P4/mmm, No. 123
Total magnetization = 0.19 μB per atom
E_form (uncorrected) = 0.085 eV per atom

Cell: 5.641 5.641 5.655 Å, 90.00 90.00 90.00°
Atoms (fractional coordinates):
Zr 0.000 0.000 0.000
Ge 0.500 0.500 0.500
Te 0.000 0.500 0.000
Te 0.500 0.000 0.000
I 0.000 0.000 0.500

Record 19
Material: Th2GeI3
Method: DFT, GGA-PBE
State: relaxed

Calculated values
Uncorrected energy = -4.80 eV/atom
Symmetry = C2/m, No. 12
Total magnetization = 0.00 μB per atom
E_form (uncorrected) = -0.785 eV per atom

Cell: 9.371 9.371 12.803 Å, 117.76 117.76 27.66°
Atoms (fractional coordinates):
Th 0.093 0.093 0.447
Th 0.355 0.355 0.188
Th 0.645 0.645 0.812
Th 0.907 0.907 0.553
Ge 0.084 0.084 0.662
Ge 0.916 0.916 0.338
I 0.153 0.153 0.014
I 0.266 0.266 0.382
I 0.452 0.452 0.764
I 0.548 0.548 0.236
I 0.734 0.734 0.618
I 0.847 0.847 0.986

Record 20
Material: TiGeI6
Method: DFT, GGA-PBE
State: relaxed

Calculated values
Uncorrected energy = -3.23 eV/atom
Symmetry = C2/m, No. 12
Total magnetization = 0.00 μB per atom
E_form (uncorrected) = -0.501 eV per atom

Cell: 7.142 13.560 7.135 Å, 90.00 108.65 90.00°
Atoms (fractional coordinates):
Ti 0.000 0.000 0.000
Ti 0.500 0.500 0.000
Ge 0.000 0.500 0.500
Ge 0.500 0.000 0.500
I 0.236 0.145 0.236
I 0.236 0.855 0.236
I 0.238 0.000 0.762
I 0.262 0.500 0.238
I 0.264 0.355 0.764
I 0.264 0.645 0.764
I 0.736 0.355 0.236
I 0.736 0.645 0.236
I 0.738 0.500 0.762
I 0.762 0.000 0.238
I 0.764 0.145 0.764
I 0.764 0.855 0.764